(1)
The following is a DFT calculation (GGA-PBE) of RbCoCuS3 after structural relaxation.

Computed properties:
E (eV per cell): -53.423
Distance to the lowest polymorph of the same formula (meV per atom): 81

Lattice parameters (Å, degrees): 7.6086 7.6086 9.3269 90.00 90.00 153.47
Element x y z (fractional)
Rb (0.2487, 0.7513, 0.7500)
Rb (0.7513, 0.2487, 0.2500)
Co (0.0000, 0.0000, 0.0000)
Co (0.0000, 0.0000, 0.5000)
Cu (0.4621, 0.5379, 0.2500)
Cu (0.5379, 0.4621, 0.7500)
S (0.0581, 0.9419, 0.2500)
S (0.3988, 0.6012, 0.0335)
S (0.3988, 0.6012, 0.4665)
S (0.6012, 0.3988, 0.5335)
S (0.6012, 0.3988, 0.9665)
S (0.9419, 0.0581, 0.7500)



(2)
The following is a DFT calculation (GGA-PBE) of Nd4Zn3Ni2 after structural relaxation.

Computed properties:
E (eV per cell): -36.951
Energy of formation from the pure elements (meV per atom): -330

Lattice parameters (Å, degrees): 7.2215 3.7146 7.8572 90.00 106.07 90.00
Element x y z (fractional)
Nd (0.0752, 0.0000, 0.2143)
Nd (0.3885, 0.0000, 0.7011)
Nd (0.6115, 0.0000, 0.2989)
Nd (0.9248, 0.0000, 0.7857)
Zn (0.0000, 0.5000, 0.5000)
Zn (0.3034, 0.5000, 0.0122)
Zn (0.6966, 0.5000, 0.9878)
Ni (0.3409, 0.5000, 0.3917)
Ni (0.6591, 0.5000, 0.6083)



| no. | total magnetization (μB/cell) | V (Å³ per cell) |
| --- | --- | --- |
| 1 | 0.9 | 241.18 |
| 2 | 0.0 | 202.54 |